Entry 1:
First-principles (PBE-GGA) data for a relaxed AlCd3Hg crystal, as listed in Alexandria.

Values from the calculation:
symmetry	Pm-3m, No. 221
mass density	6.21	g cm⁻³
E above lowest polymorph	0	meV/atom

Cell: 5.326 5.326 5.326 Å, 90.00 90.00 90.00°
Positions (direct):
Al1 0.000 0.000 0.000
Hg1 0.500 0.500 0.500
Cd1 0.000 0.500 0.000
Cd2 0.000 0.000 0.500
Cd3 0.500 0.000 0.000

=====

Entry 2:
First-principles (PBE-GGA) data for a relaxed AlCdHg2 crystal, as listed in Alexandria.

Values from the calculation:
symmetry	P2/m, No. 10
mass density	10.00	g cm⁻³
uncorrected energy	-1.19	eV per atom

Cell: 4.065 3.170 7.426 Å, 69.78 90.00 90.00°
Positions (direct):
Al1 0.500 0.250 0.250
Hg1 0.000 0.001 0.016
Hg2 0.000 0.499 0.484
Cd1 0.500 0.750 0.750

=====

Entry 3:
First-principles (PBE-GGA) data for a relaxed AlCd2Hg crystal, as listed in Alexandria.

Values from the calculation:
symmetry	Cm, No. 8
mass density	8.65	g cm⁻³
E above lowest polymorph	12	meV/atom

Cell: 3.135 3.135 10.682 Å, 75.69 75.69 59.63°
Positions (direct):
Al1 0.628 0.628 0.000
Cd1 0.102 0.102 0.761
Cd2 0.153 0.153 0.239
Hg1 0.617 0.617 0.500

=====

Entry 4:
First-principles (PBE-GGA) data for a relaxed AlCdHg2 crystal, as listed in Alexandria.

Values from the calculation:
symmetry	Cmm2, No. 35
mass density	9.71	g cm⁻³
uncorrected energy	-1.18	eV per atom

Cell: 3.206 3.206 10.445 Å, 90.00 90.00 120.55°
Positions (direct):
Al1 0.000 0.000 0.500
Hg1 0.000 0.000 0.998
Hg2 0.500 0.500 0.264
Cd1 0.500 0.500 0.739

=====

Entry 5:
First-principles (PBE-GGA) data for a relaxed AlCdHg2 crystal, as listed in Alexandria.

Values from the calculation:
symmetry	Pmmm, No. 47
mass density	9.82	g cm⁻³
uncorrected energy	-1.17	eV per atom

Cell: 4.541 5.063 3.976 Å, 90.00 90.00 90.00°
Positions (direct):
Al1 0.500 0.000 0.500
Hg1 0.000 0.000 0.000
Hg2 0.500 0.500 0.000
Cd1 0.000 0.500 0.500

=====

Entry 6:
First-principles (PBE-GGA) data for a relaxed AlCdHg crystal, as listed in Alexandria.

Values from the calculation:
symmetry	P3m1, No. 156
mass density	8.53	g cm⁻³
uncorrected energy	-1.51	eV per atom

Cell: 4.889 4.889 3.198 Å, 90.00 90.00 120.00°
Positions (direct):
Al1 0.000 0.000 0.831
Hg1 0.333 0.667 0.837
Cd1 0.667 0.333 0.333